#one
6
Lattice="-0.510 5.997 3.136 -5.318 -4.212 -0.152 0.993 -1.353 2.748" Properties=species:S:1:pos:R:3 comment="Hf5C | the Open Quantum Materials Database | PBE | optimized geometry" magnetic_moment_mub_per_fu=0.014 spacegroup="P-62m, No. 189" density_g_cm3=11.69 pbc="T T T"
C 0.000 0.000 0.000
Hf -3.495 -3.838 1.260
Hf -3.716 -0.809 0.944
Hf -0.957 -0.232 2.118
Hf -2.113 2.594 2.040
Hf 0.114 3.824 3.728

#two
6
Lattice="-1.719 2.926 4.508 -2.993 -4.433 -1.795 2.736 -3.079 3.042" Properties=species:S:1:pos:R:3 comment="Hf5C | the Open Quantum Materials Database | PBE | optimized geometry" magnetic_moment_mub_per_fu=0.003 spacegroup="P6/mmm, No. 191" density_g_cm3=10.64 pbc="T T T"
Hf -0.988 -2.293 2.877
Hf 0.509 -0.077 3.775
Hf -2.144 0.473 2.407
Hf -0.129 -3.756 0.623
Hf -2.568 -1.980 0.306
C 0.000 0.000 0.000

It comes down to #one, which is 1241 meV per atom more stable than the next structure.

#one
8
Lattice="3.320 0.000 0.000 -1.660 2.876 0.000 0.000 0.000 14.964" Properties=species:S:1:pos:R:3 comment="HfScHgC | the Open Quantum Materials Database | PBE | optimized geometry" magnetic_moment_mub_per_fu=0.009 spacegroup="P-3m1, No. 164" density_g_cm3=10.14 pbc="T T T"
Sc 1.660 0.959 8.716
Sc 0.000 1.917 6.248
Hf 0.000 1.917 1.237
Hf 1.660 0.959 13.727
Hg 1.660 0.959 3.710
Hg 0.000 1.917 11.254
C 0.000 0.000 7.482
C 0.000 0.000 0.000

#two
8
Lattice="3.327 0.000 0.000 -1.664 2.882 0.000 0.000 0.000 14.855" Properties=species:S:1:pos:R:3 comment="HfScHgC | the Open Quantum Materials Database | PBE | optimized geometry" magnetic_moment_mub_per_fu=0.125 spacegroup="P6_3mc, No. 186" density_g_cm3=10.17 pbc="T T T"
Hg 1.664 0.961 3.694
Hg 0.000 1.921 11.122
Sc 1.664 0.961 13.589
Sc 0.000 1.921 6.162
Hf 0.000 1.921 1.220
Hf 1.664 0.961 8.648
C 0.000 0.000 7.493
C 0.000 0.000 0.065

#three
8
Lattice="-3.204 -0.093 0.897 2.210 -1.977 1.513 2.524 10.552 10.101" Properties=species:S:1:pos:R:3 comment="HfScHgC | the Open Quantum Materials Database | PBE | optimized geometry" magnetic_moment_mub_per_fu=0.071 spacegroup="P-6m2, No. 187" density_g_cm3=10.18 pbc="T T T"
C 0.642 2.683 2.568
C 1.882 7.869 7.532
Sc -0.982 1.023 2.771
Sc 0.708 8.088 9.534
Hf 2.089 5.691 8.046
Hf 1.245 2.164 4.670
Hg 0.405 -1.349 1.308
Hg -0.137 4.556 6.153

It comes down to #three, which is 8 meV per atom more stable than the next structure.